# 1
Here is a relaxed VPb crystal from Alexandria. Energies are from PBE.

a b c (Å): 7.1427 7.1427 7.1427
angles (deg): 109.47 109.47 109.47
With the nearest neighbours (Å) after each atom.
Fractional coordinates of all 8 atoms:
V (0.0000, 0.0000, 0.7948)  3 V 2.39
V (0.0000, 0.7948, 0.0000)  3 V 2.39
V (0.2052, 0.2052, 0.2052)  3 V 2.39
V (0.7948, 0.0000, 0.0000)  3 V 2.39
Pb (0.0000, 0.0000, 0.4183)  4 V 2.69-2.86
Pb (0.0000, 0.4183, 0.0000)  4 V 2.69-2.86
Pb (0.4183, 0.0000, 0.0000)  4 V 2.69-2.86
Pb (0.5817, 0.5817, 0.5817)  4 V 2.69-2.86

Output
offset from the most stable computed form: 547 meV per atom
energy of formation from the pure elements: 884 meV/atom


# 2
Here is a relaxed V4Pb crystal from Alexandria. Energies are from PBE.

a b c (Å): 5.1629 5.1629 5.1629
angles (deg): 90.00 90.00 90.00
With the nearest neighbours (Å) after each atom.
Fractional coordinates of all 5 atoms:
V (0.0000, 0.0000, 0.0000)  12 V 3.65
V (0.0000, 0.5000, 0.5000)  2 Pb 2.58
V (0.5000, 0.0000, 0.5000)  2 Pb 2.58
V (0.5000, 0.5000, 0.0000)  2 Pb 2.58
Pb (0.5000, 0.5000, 0.5000)  6 V 2.58

Output
energy of formation from the pure elements: 2108 meV/atom


# 3
Here is a relaxed VPb crystal from Alexandria. Energies are from PBE.

a b c (Å): 3.1146 3.6380 8.2142
angles (deg): 90.00 90.00 90.00
With the nearest neighbours (Å) after each atom.
Fractional coordinates of all 4 atoms:
V (0.2500, 0.2500, 0.0292)  4 V 2.44
V (0.7500, 0.7500, 0.9708)  4 V 2.44
Pb (0.2500, 0.7500, 0.3097)  4 V 2.94-3.19, 2 Pb 3.11
Pb (0.7500, 0.2500, 0.6903)  4 V 2.94-3.19, 2 Pb 3.11

Output
offset from the most stable computed form: 145 meV per atom
energy of formation from the pure elements: 482 meV/atom


# 4
Here is a relaxed VPb crystal from Alexandria. Energies are from PBE.

a b c (Å): 4.7919 4.7919 5.4465
angles (deg): 90.00 90.00 120.00
With the nearest neighbours (Å) after each atom.
Fractional coordinates of all 4 atoms:
V (0.3333, 0.6667, 0.2500)  5 Pb 2.72-2.77
V (0.6667, 0.3333, 0.7500)  5 Pb 2.72-2.77
Pb (0.3333, 0.6667, 0.7500)  5 V 2.72-2.77
Pb (0.6667, 0.3333, 0.2500)  5 V 2.72-2.77

Output
offset from the most stable computed form: 714 meV per atom
energy of formation from the pure elements: 1050 meV/atom


# 5
Here is a relaxed VPb crystal from Alexandria. Energies are from PBE.

a b c (Å): 8.5524 8.5524 8.5524
angles (deg): 91.94 91.94 158.80
With the nearest neighbours (Å) after each atom.
Fractional coordinates of all 8 atoms:
V (0.1821, 0.2774, 0.4595)  2 V 2.35
V (0.2774, 0.8179, 0.0953)  2 V 2.35
V (0.7226, 0.1821, 0.9047)  2 V 2.35
V (0.8179, 0.7226, 0.5405)  2 V 2.35
Pb (0.0419, 0.7829, 0.8248)  4 V 2.76-2.92
Pb (0.2171, 0.0419, 0.2590)  4 V 2.76-2.92
Pb (0.7829, 0.9581, 0.7410)  4 V 2.76-2.92
Pb (0.9581, 0.2171, 0.1752)  4 V 2.76-2.92

Output
offset from the most stable computed form: 391 meV per atom
energy of formation from the pure elements: 728 meV/atom


# 6
Here is a relaxed VPb crystal from Alexandria. Energies are from PBE.

a b c (Å): 4.4161 4.4161 4.4161
angles (deg): 60.00 60.00 60.00
With the nearest neighbours (Å) after each atom.
Fractional coordinates of all 2 atoms:
V (0.0000, 0.0000, 0.0000)  4 Pb 2.70
Pb (0.7500, 0.7500, 0.7500)  4 V 2.70

Output
offset from the most stable computed form: 1172 meV per atom
energy of formation from the pure elements: 1508 meV/atom


# 7
Here is a relaxed VPbW crystal from Alexandria. Energies are from PBE.

a b c (Å): 2.9381 2.9381 14.7608
angles (deg): 88.97 88.82 68.83
With the nearest neighbours (Å) after each atom.
Fractional coordinates of all 6 atoms:
V (0.0000, 0.0000, 0.0000)  2 V 2.46
V (0.4887, 0.4909, 0.1227)  2 V 2.46, 2 W 2.63
Pb (0.0898, 0.1018, 0.5758)  4 Pb 2.94, 3 W 3.12-3.15
Pb (0.5509, 0.5470, 0.8313)  4 Pb 2.94, 2 V 3.00
W (0.4648, 0.4724, 0.4007)  6 W 2.65-2.94
W (0.9766, 0.9815, 0.2610)  2 V 2.63, 6 W 2.65-2.94

Output
offset from the most stable computed form: 60 meV per atom
energy of formation from the pure elements: 427 meV/atom


# 8
Here is a relaxed V2PbW crystal from Alexandria. Energies are from PBE.

a b c (Å): 5.8823 5.8823 5.8823
angles (deg): 102.85 102.85 123.73
With the nearest neighbours (Å) after each atom.
Fractional coordinates of all 8 atoms:
V (0.0782, 0.1250, 0.4532)  2 W 2.46
V (0.3750, 0.9218, 0.0468)  2 W 2.46
V (0.6718, 0.6250, 0.5468)  2 W 2.46
V (0.8750, 0.3282, 0.9532)  2 W 2.46
Pb (0.2500, 0.7500, 0.5000)  2 W 2.77, 4 V 2.93
Pb (0.5000, 0.5000, 0.0000)  2 W 2.77, 4 V 2.93
W (0.0000, 0.0000, 0.0000)  4 V 2.46
W (0.7500, 0.2500, 0.5000)  4 V 2.46

Output
energy of formation from the pure elements: 958 meV/atom


Number 1: final energy -44.2 eV per cell. Number 2: final energy -29.6 eV per cell. Number 3: final energy -23.7 eV per cell. Number 4: final energy -21.5 eV per cell. Number 5: final energy -45.5 eV per cell. Number 6: final energy -9.8 eV per cell. Number 7: final energy -49.0 eV per cell. Number 8: final energy -62.1 eV per cell.